Entry 1:
Here is a relaxed structure of LiHf2Sc from OQMD. Energies are from GGA-PBE.

Values from the calculation:
Total DFT energy (no corrections) = -6.692 eV per atom
Space group = F-43m
Crystal system = cubic

a b c (Å): 4.916 4.916 4.916
angles (deg): 60.00 60.00 60.00
Atoms (fractional coordinates):
Sc (0.250, 0.250, 0.250)
Hf (0.750, 0.750, 0.750)
Hf (0.000, 0.000, 0.000)
Li (0.500, 0.500, 0.500)

***

Entry 2:
Here is a relaxed structure of Li2HfSc from OQMD. Energies are from GGA-PBE.

Values from the calculation:
Total DFT energy (no corrections) = -4.518 eV per atom
Space group = F-43m
Crystal system = cubic

a b c (Å): 4.860 4.860 4.860
angles (deg): 60.00 60.00 60.00
Atoms (fractional coordinates):
Hf (0.250, 0.250, 0.250)
Sc (0.500, 0.500, 0.500)
Li (0.000, 0.000, 0.000)
Li (0.750, 0.750, 0.750)

***

Entry 3:
Here is a relaxed structure of LiHfSc from OQMD. Energies are from GGA-PBE.

Values from the calculation:
Total DFT energy (no corrections) = -4.847 eV per atom
Space group = F-43m
Crystal system = cubic

a b c (Å): 4.769 4.769 4.769
angles (deg): 60.00 60.00 60.00
Atoms (fractional coordinates):
Li (0.250, 0.250, 0.250)
Hf (0.000, 0.000, 0.000)
Sc (0.750, 0.750, 0.750)

***

Entry 4:
Here is a relaxed structure of Li2HfSe3 from OQMD. Energies are from GGA-PBE.

Values from the calculation:
Space group = P2_1/m
Crystal system = monoclinic
Polymorph energy (0 for the lowest one) = 0.7 kJ/mol of atoms

a b c (Å): 7.669 3.828 9.055
angles (deg): 90.00 101.02 90.00
Atoms (fractional coordinates):
Li (0.369, 0.750, 0.870)
Hf (0.680, 0.750, 0.652)
Hf (0.320, 0.250, 0.348)
Li (0.926, 0.250, 0.904)
Se (0.736, 0.750, 0.958)
Se (0.095, 0.750, 0.367)
Li (0.631, 0.250, 0.130)
Se (0.420, 0.250, 0.654)
Li (0.074, 0.750, 0.096)
Se (0.905, 0.250, 0.633)
Se (0.580, 0.750, 0.346)
Se (0.264, 0.250, 0.042)

***

Entry 5:
Here is a relaxed structure of Li2HfSe3 from OQMD. Energies are from GGA-PBE.

Values from the calculation:
Space group = Pnma
Crystal system = orthorhombic
Polymorph energy (0 for the lowest one) = 0.0 kJ/mol of atoms

a b c (Å): 12.851 3.826 10.706
angles (deg): 90.00 90.00 90.00
Atoms (fractional coordinates):
Li (0.986, 0.250, 0.415)
Hf (0.997, 0.750, 0.165)
Hf (0.503, 0.250, 0.665)
Li (0.239, 0.250, 0.443)
Se (0.368, 0.250, 0.261)
Se (0.618, 0.250, 0.443)
Li (0.014, 0.750, 0.585)
Se (0.882, 0.750, 0.943)
Se (0.632, 0.750, 0.739)
Se (0.606, 0.750, 0.127)
Hf (0.003, 0.250, 0.835)
Li (0.761, 0.750, 0.557)
Se (0.868, 0.250, 0.239)
Li (0.739, 0.250, 0.057)
Li (0.261, 0.750, 0.943)
Se (0.118, 0.250, 0.057)
Se (0.106, 0.750, 0.373)
Li (0.486, 0.250, 0.085)
Hf (0.497, 0.750, 0.335)
Se (0.894, 0.250, 0.627)
Se (0.394, 0.250, 0.873)
Se (0.382, 0.750, 0.557)
Se (0.132, 0.750, 0.761)
Li (0.514, 0.750, 0.915)

***

Entry 6:
Here is a relaxed structure of LiHfTlSe3 from OQMD. Energies are from GGA-PBE.

Values from the calculation:
Space group = Pnma
Crystal system = orthorhombic
Polymorph energy (0 for the lowest one) = 0.0 kJ/mol of atoms

a b c (Å): 14.651 3.931 10.713
angles (deg): 90.00 90.00 90.00
Atoms (fractional coordinates):
Hf (0.985, 0.750, 0.836)
Hf (0.015, 0.250, 0.164)
Se (0.594, 0.250, 0.568)
Se (0.094, 0.250, 0.932)
Se (0.083, 0.750, 0.633)
Se (0.417, 0.250, 0.133)
Tl (0.774, 0.750, 0.514)
Li (0.481, 0.250, 0.909)
Se (0.406, 0.750, 0.432)
Se (0.906, 0.750, 0.068)
Se (0.131, 0.750, 0.232)
Li (0.981, 0.250, 0.591)
Se (0.631, 0.750, 0.268)
Se (0.869, 0.250, 0.768)
Se (0.583, 0.750, 0.867)
Se (0.917, 0.250, 0.367)
Li (0.519, 0.750, 0.091)
Li (0.019, 0.750, 0.409)
Hf (0.515, 0.250, 0.336)
Tl (0.274, 0.750, 0.986)
Tl (0.226, 0.250, 0.486)
Tl (0.726, 0.250, 0.014)
Se (0.369, 0.250, 0.732)
Hf (0.485, 0.750, 0.664)

***

Entry 7:
Here is a relaxed structure of LiHfTlSe3 from OQMD. Energies are from GGA-PBE.

Values from the calculation:
Space group = Cmcm
Crystal system = orthorhombic
Polymorph energy (0 for the lowest one) = 0.6 kJ/mol of atoms

a b c (Å): 7.495 7.495 10.456
angles (deg): 90.00 90.00 149.87
Atoms (fractional coordinates):
Se (0.374, 0.626, 0.040)
Hf (0.000, 0.000, 0.500)
Tl (0.268, 0.732, 0.750)
Tl (0.732, 0.268, 0.250)
Se (0.055, 0.945, 0.250)
Li (0.550, 0.450, 0.750)
Se (0.374, 0.626, 0.460)
Hf (0.000, 0.000, 0.000)
Se (0.626, 0.374, 0.960)
Se (0.626, 0.374, 0.540)
Li (0.450, 0.550, 0.250)
Se (0.945, 0.055, 0.750)

***

Entry 8:
Here is a relaxed structure of LiHfTlSe3 from OQMD. Energies are from GGA-PBE.

Values from the calculation:
Space group = P2_1/m
Crystal system = monoclinic
Polymorph energy (0 for the lowest one) = 0.7 kJ/mol of atoms

a b c (Å): 8.129 3.929 10.184
angles (deg): 90.00 109.73 90.00
Atoms (fractional coordinates):
Se (0.252, 0.250, 0.426)
Hf (0.188, 0.250, 0.155)
Se (0.748, 0.750, 0.574)
Hf (0.812, 0.750, 0.845)
Li (0.570, 0.250, 0.600)
Se (0.944, 0.750, 0.130)
Se (0.592, 0.250, 0.853)
Tl (0.768, 0.250, 0.312)
Li (0.430, 0.750, 0.400)
Se (0.056, 0.250, 0.870)
Se (0.408, 0.750, 0.147)
Tl (0.232, 0.750, 0.688)

***

Entry 9:
Here is a relaxed structure of LiHfSi from OQMD. Energies are from GGA-PBE.

Values from the calculation:
Total DFT energy (no corrections) = -5.922 eV per atom
Space group = F-43m
Crystal system = cubic

a b c (Å): 4.317 4.317 4.317
angles (deg): 60.00 60.00 60.00
Atoms (fractional coordinates):
Hf (0.250, 0.250, 0.250)
Li (0.750, 0.750, 0.750)
Si (0.000, 0.000, 0.000)

***

Entry 10:
Here is a relaxed structure of LiHfSi2 from OQMD. Energies are from GGA-PBE.

Values from the calculation:
Total DFT energy (no corrections) = -5.552 eV per atom
Space group = F-43m
Crystal system = cubic

a b c (Å): 4.455 4.455 4.455
angles (deg): 60.00 60.00 60.00
Atoms (fractional coordinates):
Si (0.250, 0.250, 0.250)
Li (0.750, 0.750, 0.750)
Hf (0.500, 0.500, 0.500)
Si (0.000, 0.000, 0.000)

***

Entry 11:
Here is a relaxed structure of LiHf2Si from OQMD. Energies are from GGA-PBE.

Values from the calculation:
Total DFT energy (no corrections) = -6.571 eV per atom
Space group = F-43m
Crystal system = cubic

a b c (Å): 4.653 4.653 4.653
angles (deg): 60.00 60.00 60.00
Atoms (fractional coordinates):
Hf (0.750, 0.750, 0.750)
Si (0.500, 0.500, 0.500)
Hf (0.000, 0.000, 0.000)
Li (0.250, 0.250, 0.250)

***

Entry 12:
Here is a relaxed structure of Li2HfSi from OQMD. Energies are from GGA-PBE.

Values from the calculation:
Total DFT energy (no corrections) = -4.934 eV per atom
Space group = F-43m
Crystal system = cubic

a b c (Å): 4.443 4.443 4.443
angles (deg): 60.00 60.00 60.00
Atoms (fractional coordinates):
Hf (0.250, 0.250, 0.250)
Li (0.750, 0.750, 0.750)
Si (0.500, 0.500, 0.500)
Li (0.000, 0.000, 0.000)

***

Entry 13:
Here is a relaxed structure of LiSmHf from OQMD. Energies are from GGA-PBE.

Values from the calculation:
Space group = F-43m
Crystal system = cubic
Polymorph energy (0 for the lowest one) = 8.7 kJ/mol of atoms

a b c (Å): 4.871 4.871 4.871
angles (deg): 60.00 60.00 60.00
Atoms (fractional coordinates):
Li (0.750, 0.750, 0.750)
Sm (0.000, 0.000, 0.000)
Hf (0.250, 0.250, 0.250)

***

Entry 14:
Here is a relaxed structure of LiSmHf from OQMD. Energies are from GGA-PBE.

Values from the calculation:
Space group = F-43m
Crystal system = cubic
Polymorph energy (0 for the lowest one) = 0.0 kJ/mol of atoms

a b c (Å): 4.857 4.857 4.857
angles (deg): 60.00 60.00 60.00
Atoms (fractional coordinates):
Li (0.250, 0.250, 0.250)
Sm (0.750, 0.750, 0.750)
Hf (0.000, 0.000, 0.000)

***

Entry 15:
Here is a relaxed structure of LiHf3Sn5 from OQMD. Energies are from GGA-PBE.

Values from the calculation:
Total DFT energy (no corrections) = -5.824 eV per atom
Space group = P6/mmm
Crystal system = hexagonal

a b c (Å): 6.032 6.032 7.686
angles (deg): 90.00 90.00 120.00
Atoms (fractional coordinates):
Sn (0.333, 0.667, 0.817)
Sn (0.667, 0.333, 0.183)
Hf (0.000, 0.500, 0.500)
Hf (0.500, 0.500, 0.500)
Sn (0.667, 0.333, 0.817)
Sn (0.000, 0.000, 0.500)
Sn (0.333, 0.667, 0.183)
Hf (0.500, 0.000, 0.500)
Li (0.000, 0.000, 0.000)

***

Entry 16:
Here is a relaxed structure of LiHf2Sn from OQMD. Energies are from GGA-PBE.

Values from the calculation:
Total DFT energy (no corrections) = -6.306 eV per atom
Space group = F-43m
Crystal system = cubic

a b c (Å): 4.921 4.921 4.921
angles (deg): 60.00 60.00 60.00
Atoms (fractional coordinates):
Hf (0.000, 0.000, 0.000)
Hf (0.750, 0.750, 0.750)
Sn (0.500, 0.500, 0.500)
Li (0.250, 0.250, 0.250)

***

Entry 17:
Here is a relaxed structure of LiHf2Ta from OQMD. Energies are from GGA-PBE.

Values from the calculation:
Total DFT energy (no corrections) = -8.007 eV per atom
Space group = F-43m
Crystal system = cubic

a b c (Å): 4.741 4.741 4.741
angles (deg): 60.00 60.00 60.00
Atoms (fractional coordinates):
Li (0.500, 0.500, 0.500)
Hf (0.750, 0.750, 0.750)
Hf (0.000, 0.000, 0.000)
Ta (0.250, 0.250, 0.250)

***

Entry 18:
Here is a relaxed structure of LiHfTa from OQMD. Energies are from GGA-PBE.

Values from the calculation:
Space group = F-43m
Crystal system = cubic
Polymorph energy (0 for the lowest one) = 0.0 kJ/mol of atoms

a b c (Å): 4.580 4.580 4.580
angles (deg): 60.00 60.00 60.00
Atoms (fractional coordinates):
Hf (0.250, 0.250, 0.250)
Ta (0.000, 0.000, 0.000)
Li (0.750, 0.750, 0.750)

***

Entry 19:
Here is a relaxed structure of LiHfTa2 from OQMD. Energies are from GGA-PBE.

Values from the calculation:
Total DFT energy (no corrections) = -8.620 eV per atom
Space group = F-43m
Crystal system = cubic

a b c (Å): 4.660 4.660 4.660
angles (deg): 60.00 60.00 60.00
Atoms (fractional coordinates):
Li (0.500, 0.500, 0.500)
Ta (0.000, 0.000, 0.000)
Ta (0.750, 0.750, 0.750)
Hf (0.250, 0.250, 0.250)

***

Entry 20:
Here is a relaxed structure of Li2HfTc from OQMD. Energies are from GGA-PBE.

Values from the calculation:
Total DFT energy (no corrections) = -5.751 eV per atom
Space group = F-43m
Crystal system = cubic

a b c (Å): 4.469 4.469 4.469
angles (deg): 60.00 60.00 60.00
Atoms (fractional coordinates):
Li (0.750, 0.750, 0.750)
Li (0.500, 0.500, 0.500)
Hf (0.000, 0.000, 0.000)
Tc (0.250, 0.250, 0.250)

***

| no. | total magnetization (μB per cell) | calculated density (Mg/m³) |
| --- | --- | --- |
| 1 | 1.8 | 8.1 |
| 2 | 0.0 | 4.9 |
| 3 | 0.7 | 5.0 |
| 4 | 0.0 | 5.5 |
| 5 | 0.0 | 5.4 |
| 6 | 0.0 | 6.7 |
| 7 | 0.0 | 7.1 |
| 8 | 0.0 | 6.8 |
| 9 | 0.0 | 6.2 |
| 10 | 0.0 | 6.4 |
| 11 | 0.1 | 9.1 |
| 12 | 0.0 | 5.9 |
| 13 | 0.1 | 6.8 |
| 14 | 0.5 | 6.9 |
| 15 | 0.0 | 7.8 |
| 16 | 2.3 | 9.5 |
| 17 | 0.0 | 12.0 |
| 18 | 0.0 | 9.0 |
| 19 | 0.0 | 12.7 |
| 20 | 0.0 | 7.6 |